Density functional theory data (PBE with a Hubbard U) for a relaxed Mn2TlZnF8 crystal.

Cell and atoms, written as POSCAR:
```
Mn2TlZnF8
1.0
5.0621 -0.0001 0.0023
0.0581 5.0463 0.0009
0.0044 0.0082 6.8620
F Zn Tl Mn
8 1 1 2
Cartesian
1.5434 1.4954 0.0024 F
3.5811 3.5589 6.8628 F
4.0696 1.0454 5.3822 F
4.0618 1.0356 1.4834 F
1.6952 1.6404 3.4342 F
1.0549 4.0089 1.4829 F
1.0627 4.0188 5.3817 F
3.4293 3.4140 3.4309 F
0.0000 0.0000 0.0000 Zn
0.0022 0.0041 3.4310 Tl
2.5612 2.5251 1.6235 Mn
2.5633 2.5293 5.2416 Mn
```

Calculated volume ... 175 Å³ per cell
Magnetization ... 9.44 Bohr magnetons per cell
Symmetry ... P-1 (2)
DOS at the Fermi energy ... 2.75 states/eV/cell
Uncorrected energy ... -5.118 eV/atom